A plane-wave DFT calculation with GGA-PBE was carried out for crystalline Sm2Dy5Tm2 at its relaxed geometry.

ΔE_f (eV/atom): 0.02
Polymorph energy (0 for the lowest one) (kcal/mol of atoms): 0.00
Final energy (eV per atom): -4.581

Cell and atoms, written as CIF:
```
data_Sm2Dy5Tm2
_cell_length_a 6.138
_cell_length_b 6.139
_cell_length_c 9.380
_cell_angle_alpha 90.12
_cell_angle_beta 109.07
_cell_angle_gamma 119.81
_symmetry_space_group_name_H-M 'P -1'
_symmetry_Int_Tables_number 2
loop_
_symmetry_equiv_pos_as_xyz
'x,y,z'
'-x,-y,-z'
loop_
_atom_site_label
_atom_site_fract_x
_atom_site_fract_y
_atom_site_fract_z
Sm1 0.056 0.444 0.331
Dy1 0.278 0.223 0.668
Dy2 0.388 0.110 0.331
Dy3 0.500 0.000 0.000
Tm1 0.167 0.333 0.000
```